No. 1
Rb2Na2PbF7: relaxed, GGA-PBE. Values from VASP.

```
&SYSTEM
  ibrav = 0, nat = 12, ntyp = 4
/
ATOMIC_SPECIES
Rb 85.47 Rb.upf
Na 22.99 Na.upf
Pb 207.20 Pb.upf
F 19.00 F.upf
ATOMIC_POSITIONS crystal
Rb 0.198 0.198 0.375
Rb 0.802 0.802 0.625
Na 0.360 0.360 0.808
Na 0.640 0.640 0.192
Pb 0.000 0.000 0.000
F 0.161 0.771 0.152
F 0.229 0.839 0.848
F 0.299 0.299 0.615
F 0.500 0.500 0.000
F 0.701 0.701 0.385
F 0.771 0.161 0.152
F 0.839 0.229 0.848
CELL_PARAMETERS angstrom
2.745 -3.383 0.000
2.745 3.383 0.000
-2.339 0.000 11.577
```

Calculated values
Final energy: -4.1713 eV per atom
Energy relative to the elements, uncorrected: -2390 meV per atom

---

No. 2
Rb2NaPbF8: relaxed, GGA-PBE. Values from VASP.

```
&SYSTEM
  ibrav = 0, nat = 12, ntyp = 4
/
ATOMIC_SPECIES
Rb 85.47 Rb.upf
Na 22.99 Na.upf
Pb 207.20 Pb.upf
F 19.00 F.upf
ATOMIC_POSITIONS crystal
Rb 0.000 0.248 0.000
Rb 0.000 0.752 0.000
Na 0.500 0.000 0.500
Pb 0.500 0.500 0.500
F 0.053 0.000 0.347
F 0.114 0.500 0.314
F 0.427 0.289 0.716
F 0.427 0.711 0.716
F 0.573 0.289 0.284
F 0.573 0.711 0.284
F 0.886 0.500 0.686
F 0.947 0.000 0.653
CELL_PARAMETERS angstrom
4.894 0.000 0.000
0.000 7.647 0.000
-0.603 0.000 6.061
```

Calculated values
Final energy: -4.0535 eV per atom
Energy relative to the elements, uncorrected: -2226 meV per atom

---

No. 3
RbNaPbF6: relaxed, GGA-PBE. Values from VASP.

```
&SYSTEM
  ibrav = 0, nat = 9, ntyp = 4
/
ATOMIC_SPECIES
Rb 85.47 Rb.upf
Na 22.99 Na.upf
Pb 207.20 Pb.upf
F 19.00 F.upf
ATOMIC_POSITIONS crystal
Rb 0.000 0.000 0.000
Na 0.667 0.333 0.500
Pb 0.333 0.667 0.500
F 0.029 0.390 0.298
F 0.030 0.640 0.702
F 0.360 0.970 0.298
F 0.361 0.391 0.703
F 0.609 0.639 0.297
F 0.610 0.971 0.702
CELL_PARAMETERS angstrom
3.015 -5.230 0.000
3.015 5.230 0.000
-0.005 0.000 5.784
```

Calculated values
Final energy: -4.3304 eV per atom
Energy relative to the elements, uncorrected: -2417 meV per atom

---

No. 4
Rb3Na2PbF9: relaxed, GGA-PBE. Values from VASP.

```
&SYSTEM
  ibrav = 0, nat = 15, ntyp = 4
/
ATOMIC_SPECIES
Rb 85.47 Rb.upf
Na 22.99 Na.upf
Pb 207.20 Pb.upf
F 19.00 F.upf
ATOMIC_POSITIONS crystal
Rb 0.000 0.000 0.000
Rb 0.333 0.667 0.740
Rb 0.667 0.333 0.260
Na 0.333 0.667 0.158
Na 0.667 0.333 0.842
Pb 0.000 0.000 0.500
F 0.000 0.500 0.000
F 0.156 0.312 0.346
F 0.156 0.844 0.346
F 0.312 0.156 0.654
F 0.500 0.000 0.000
F 0.500 0.500 0.000
F 0.688 0.844 0.346
F 0.844 0.156 0.654
F 0.844 0.688 0.654
CELL_PARAMETERS angstrom
6.322 0.000 0.000
-3.161 5.475 0.000
0.000 0.000 7.992
```

Calculated values
Final energy: -4.2612 eV per atom
Energy relative to the elements, uncorrected: -2522 meV per atom